Pr2MnP2O after structural relaxation. Source: Alexandria via LeMat-Bulk, functional PBE with a Hubbard U.

```
6
Lattice="3.372 0.000 0.000 0.000 3.372 0.000 0.000 0.000 14.944" Properties=species:S:1:pos:R:3 pbc="T T T"
Pr 0.000 0.000 2.133
Pr 0.000 0.000 12.811
Mn 0.000 0.000 7.472
P 0.000 0.000 5.097
P 0.000 0.000 9.847
O 0.000 0.000 0.000
```

Values from the calculation:
Calculated total energy = -32.95 eV/cell
DOS at the Fermi energy = 0.631 states/eV/atom
Theoretical density = 4.1 g/cm³